First-principles (GGA-PBE) data for crystalline Tm4CSe at its relaxed geometry, as listed in the Alexandria database. Values from VASP.

Geometry as Quantum ESPRESSO input:
```
&SYSTEM
  ibrav = 0, nat = 6, ntyp = 3
/
ATOMIC_SPECIES
Tm 168.93 Tm.upf
C 12.01 C.upf
Se 78.96 Se.upf
CELL_PARAMETERS angstrom
-1.535 -1.375 3.022
3.879 -5.189 -2.605
3.338 4.467 3.729
ATOMIC_POSITIONS crystal
Tm 0.874 0.748 0.174
Tm 0.126 0.252 0.826
Tm 0.385 0.771 0.762
Tm 0.615 0.229 0.238
C 0.000 0.000 0.000
Se 0.500 0.000 0.500
```

Calculated values
Calculated volume, Å³/cell: 148.4
Raw total energy, eV per formula unit: -34.60
E_form (uncorrected), kJ/mol of formula units: -386
Energy above the lowest structure with this stoichiometry, kJ/mol of atoms: 4.5